DFT (GGA-PBE) results for crystalline SrAc2Eu at its relaxed geometry.

Cell: 3.9927 3.9927 11.4533 Å, 90.00 90.00 90.00°
Site moments in Bohr magnetons follow the coordinates.
Atoms (fractional coordinates):
Eu 0.5000 0.5000 0.0000  -6.95
Sr 0.5000 0.5000 0.5000  0.04
Ac 0.0000 0.0000 0.7643  -0.04
Ac 0.0000 0.0000 0.2357  -0.04

E above lowest polymorph: 0 meV per atom
DOS(E_F): 1.363 states/eV/atom
space-group type: P4/mmm
DFT formation energy: 0.0658 eV/atom